Tb5Pm2Tm2 | PBE-GGA | optimized geometry

Cell: 11.765 6.728 10.062 Å, 109.53 125.78 90.00°
Atoms (fractional coordinates):
1 Tb 0.200 0.656 0.896
2 Tb 0.801 0.760 0.104
3 Tb 0.196 0.156 0.896
4 Tb 0.804 0.260 0.104
5 Tb 0.379 0.027 0.287
6 Tb 0.621 0.740 0.713
7 Tb 0.408 0.527 0.287
8 Tb 0.592 0.240 0.713
9 Tb 0.003 0.658 0.500
10 Tb 0.997 0.158 0.500
11 Pm 0.126 0.685 0.253
12 Pm 0.874 0.432 0.747
13 Pm 0.627 0.185 0.253
14 Pm 0.373 0.932 0.747
15 Tm 0.000 0.020 0.000
16 Tm 0.500 0.520 0.000
17 Tm 0.261 0.357 0.500
18 Tm 0.739 0.857 0.500

Computed properties:
Space group: No. 46
Volume in Å³/cell: 588.7
VASP energy in eV/atom: -4.40